#1
VASP calculation (PBE) on an optimized crystal structure of LaOsRu2.

Computed properties:
Symmetry: Cmm2

Cell lengths 2.839, 2.839, 9.474 Å; angles 90.00, 90.00, 116.86 degrees
Sites, in units of the cell vectors:
La 0.000 0.000 0.000
Os 0.500 0.500 0.723
Ru 0.000 0.000 0.496
Ru 0.500 0.500 0.268

***

#2
VASP calculation (PBE) on an optimized crystal structure of LaOsRu2.

Computed properties:
Symmetry: Pm

Cell lengths 2.918, 4.373, 5.793 Å; angles 90.00, 103.20, 90.00 degrees
Sites, in units of the cell vectors:
La 0.000 0.000 0.000
Os 0.726 0.500 0.350
Ru 0.323 0.000 0.493
Ru 0.406 0.500 0.739

***

#3
VASP calculation (PBE) on an optimized crystal structure of LaOsRu2.

Computed properties:
Symmetry: Pmmm

Cell lengths 3.053, 4.704, 4.937 Å; angles 90.00, 90.00, 90.00 degrees
Sites, in units of the cell vectors:
La 0.000 0.000 0.000
Os 0.500 0.000 0.500
Ru 0.000 0.500 0.500
Ru 0.500 0.500 0.000

***

Relative energies, unit meV/atom: #1 380; #2 0; #3 246

***

#1
VASP calculation (PBE) on an optimized crystal structure of La2OsRu.

Computed properties:
Symmetry: Pmmm

Cell lengths 3.552, 3.576, 7.115 Å; angles 90.00, 90.00, 90.00 degrees
Sites, in units of the cell vectors:
La 0.000 0.000 0.250
La 0.000 0.000 0.750
Os 0.500 0.500 0.000
Ru 0.500 0.500 0.500

***

#2
VASP calculation (PBE) on an optimized crystal structure of La2OsRu.

Computed properties:
Symmetry: I-42d

Cell lengths 6.215, 6.215, 6.215 Å; angles 104.71, 104.71, 119.48 degrees
Sites, in units of the cell vectors:
La 0.119 0.125 0.494
La 0.375 0.881 0.006
La 0.631 0.625 0.506
La 0.875 0.369 0.994
Os 0.250 0.750 0.500
Os 0.500 0.500 0.000
Ru 0.000 0.000 0.000
Ru 0.750 0.250 0.500

***

Relative energies, unit meV/atom: #1 0; #2 264